{"formula": "CaTb2Pm3S6", "functional": "GGA-PBE", "state": "optimized geometry", "cell": [[6.8963, -0.0030, 0.0034], [-3.4490, 5.9719, 0.0034], [-1.1463, -1.9847, 6.5582]], "species": ["S", "S", "S", "S", "S", "S", "Ca", "Pm", "Pm", "Pm", "Tb", "Tb"], "fractional_positions": [[0.5858, 0.9197, 0.7585], [0.7460, 0.7460, 0.2383], [0.0803, 0.4142, 0.2415], [0.2540, 0.2540, 0.7617], [0.9197, 0.5858, 0.7585], [0.4142, 0.0803, 0.2415], [0.0000, 0.0000, 0.0000], [0.8349, 0.1651, 0.5000], [0.5000, 0.5000, 0.5000], [0.1651, 0.8349, 0.5000], [0.3332, 0.6668, 0.0000], [0.6668, 0.3332, 0.0000]], "space_group": "No. 12", "energy_ev_per_atom": -6.23, "formation_energy_uncorrected_mev_per_atom": -2036}